## Sr3VGa2O8 (PBE with a Hubbard U)

Data for Sr3VGa2O8 after structural relaxation.

Computed properties:
VASP energy = -6.4490 eV/atom
M_tot = 0.071 μB/atom

The structure in POSCAR format:
```
Sr3VGa2O8
1.0
-1.375 3.860 -3.805
-3.314 -4.430 0.812
-3.622 3.623 4.985
Sr V Ga O
3 1 2 8
Direct
0.333 0.667 0.643 Sr
0.667 0.333 0.357 Sr
0.000 0.000 0.000 Sr
0.000 0.000 0.500 V
0.333 0.667 0.209 Ga
0.667 0.333 0.791 Ga
0.333 0.667 0.963 O
0.667 0.333 0.037 O
0.162 0.838 0.334 O
0.838 0.162 0.666 O
0.162 0.324 0.334 O
0.838 0.676 0.666 O
0.676 0.838 0.334 O
0.324 0.162 0.666 O
```